First-principles (PBE-GGA) data for an optimized crystal structure of MgGaCu2, as listed in Alexandria.

Results
Symmetry = Immm
Formation energy = 236 meV/atom

Unit cell a=5.8865 b=5.8865 c=5.8865 alpha=53.84 beta=152.82 gamma=134.46
Last column: nearest neighbours and their distance in Å.
Atoms (fractional coordinates):
Cu (0.0000, 0.2635, 0.2635)  1 Ga 2.48, 6 Cu 2.68-2.77, 1 Mg 2.77
Mg (0.0000, 0.0000, 0.0000)  4 Ga 2.67, 2 Cu 2.77, 2 Mg 2.77
Ga (0.0000, 0.5000, 0.5000)  2 Cu 2.48, 4 Mg 2.67, 2 Ga 2.77
Cu (0.0000, 0.7365, 0.7365)  1 Ga 2.48, 6 Cu 2.68-2.77, 1 Mg 2.77